# MnWCl2, optimized geometry, DFT PBE
# Fermi-level density of states = 3.0 states/eV/f.u.
# total DFT energy (no corrections) = -44.50 eV per cell
# ΔE to the lowest computed polymorph = 1166 meV per atom
# calculated volume = 17.141 Å³ per atom
# formation energy without anion corrections = 0.8914 eV per atom
# total magnetization = 1.692 μB/f.u.
data_MnWCl2
_chemical_formula_sum 'Mn2 W2 Cl4'
_symmetry_space_group_name_H-M 'I -4 m 2'
_symmetry_Int_Tables_number 119
_symmetry_space_group_name_Hall 'I -4 -2'
_cell_length_a 3.663
_cell_length_b 3.663
_cell_length_c 10.221
_cell_angle_alpha 90.00
_cell_angle_beta 90.00
_cell_angle_gamma 90.00
loop_
_atom_site_label
_atom_site_type_symbol
_atom_site_fract_x
_atom_site_fract_y
_atom_site_fract_z
_atom_site_occupancy
Mn1 Mn 0.000 0.000 0.000 1
W1 W 0.000 0.500 0.750 1
Cl1 Cl 0.000 0.000 0.500 1
Cl2 Cl 0.000 0.500 0.250 1


# MnWCl2, optimized geometry, DFT PBE
# Fermi-level density of states = 6.4 states/eV/f.u.
# total DFT energy (no corrections) = -84.12 eV per cell
# ΔE to the lowest computed polymorph = 1471 meV per atom
# calculated volume = 13.549 Å³ per atom
# formation energy without anion corrections = 1.1965 eV per atom
# total magnetization = 0.000 μB/f.u.
data_MnWCl2
_chemical_formula_sum 'Mn4 W4 Cl8'
_symmetry_space_group_name_H-M 'F m -3 m'
_symmetry_Int_Tables_number 225
_symmetry_space_group_name_Hall '-F 4 2 3'
_cell_length_a 6.007
_cell_length_b 6.007
_cell_length_c 6.007
_cell_angle_alpha 90.00
_cell_angle_beta 90.00
_cell_angle_gamma 90.00
loop_
_atom_site_label
_atom_site_type_symbol
_atom_site_fract_x
_atom_site_fract_y
_atom_site_fract_z
_atom_site_occupancy
Mn1 Mn 0.000 0.000 0.000 1
W1 W 0.000 0.000 0.500 1
Cl1 Cl 0.250 0.250 0.250 1


# MnWCl2, optimized geometry, DFT PBE
# Fermi-level density of states = 5.3 states/eV/f.u.
# total DFT energy (no corrections) = -87.32 eV per cell
# ΔE to the lowest computed polymorph = 1272 meV per atom
# calculated volume = 17.361 Å³ per atom
# formation energy without anion corrections = 0.9967 eV per atom
# total magnetization = 0.667 μB/f.u.
data_MnWCl2
_chemical_formula_sum 'Mn4 W4 Cl8'
_symmetry_space_group_name_H-M 'F -4 3 m'
_symmetry_Int_Tables_number 216
_symmetry_space_group_name_Hall 'F -4 2 3'
_cell_length_a 6.525
_cell_length_b 6.525
_cell_length_c 6.525
_cell_angle_alpha 90.00
_cell_angle_beta 90.00
_cell_angle_gamma 90.00
loop_
_atom_site_label
_atom_site_type_symbol
_atom_site_fract_x
_atom_site_fract_y
_atom_site_fract_z
_atom_site_occupancy
Mn1 Mn 0.000 0.000 0.000 1
W1 W 0.250 0.250 0.750 1
Cl1 Cl 0.000 0.000 0.500 1
Cl2 Cl 0.250 0.250 0.250 1


# MnWCl2, optimized geometry, DFT PBE
# Fermi-level density of states = 1.5 states/eV/f.u.
# total DFT energy (no corrections) = -25.81 eV per cell
# ΔE to the lowest computed polymorph = 278 meV per atom
# calculated volume = 18.718 Å³ per atom
# formation energy without anion corrections = 0.0026 eV per atom
# total magnetization = 2.908 μB/f.u.
data_MnWCl2
_chemical_formula_sum 'Mn1 W1 Cl2'
_symmetry_space_group_name_H-M 'P 4 m m'
_symmetry_Int_Tables_number 99
_cell_length_a 2.963
_cell_length_b 2.963
_cell_length_c 8.527
_cell_angle_alpha 90.00
_cell_angle_beta 90.00
_cell_angle_gamma 90.00
loop_
_symmetry_equiv_pos_as_xyz
'x,y,z'
'-y,x,z'
'-x,-y,z'
'y,-x,z'
'-x,y,z'
'y,x,z'
'x,-y,z'
'-y,-x,z'
loop_
_atom_site_label
_atom_site_type_symbol
_atom_site_fract_x
_atom_site_fract_y
_atom_site_fract_z
_atom_site_occupancy
Mn1 Mn 0.000 0.000 0.000 1
W1 W 0.500 0.500 0.213 1
Cl1 Cl 0.000 0.000 0.403 1
Cl2 Cl 0.500 0.500 0.821 1


# MnWCl2, optimized geometry, DFT PBE
# Fermi-level density of states = 2.3 states/eV/f.u.
# total DFT energy (no corrections) = -51.49 eV per cell
# ΔE to the lowest computed polymorph = 293 meV per atom
# calculated volume = 19.727 Å³ per atom
# formation energy without anion corrections = 0.0180 eV per atom
# total magnetization = 3.721 μB/f.u.
data_MnWCl2
_chemical_formula_sum 'Mn2 W2 Cl4'
_symmetry_space_group_name_H-M 'C m m 2'
_symmetry_Int_Tables_number 35
_cell_length_a 3.110
_cell_length_b 5.363
_cell_length_c 9.461
_cell_angle_alpha 90.00
_cell_angle_beta 90.00
_cell_angle_gamma 90.00
loop_
_symmetry_equiv_pos_as_xyz
'x,y,z'
'-x,-y,z'
'-x,y,z'
'x,-y,z'
'x+1/2,y+1/2,z'
'-x+1/2,-y+1/2,z'
'-x+1/2,y+1/2,z'
'x+1/2,-y+1/2,z'
loop_
_atom_site_label
_atom_site_type_symbol
_atom_site_fract_x
_atom_site_fract_y
_atom_site_fract_z
_atom_site_occupancy
Mn1 Mn 0.000 0.000 0.000 1
W1 W 0.000 0.500 0.772 1
Cl1 Cl 0.000 0.000 0.570 1
Cl2 Cl 0.000 0.500 0.186 1


# YMn2Cl, optimized geometry, DFT PBE
# Fermi-level density of states = 3.3 states/eV/f.u.
# total DFT energy (no corrections) = -51.99 eV per cell
# ΔE to the lowest computed polymorph = 418 meV per atom
# calculated volume = 22.037 Å³ per atom
# formation energy without anion corrections = 0.1640 eV per atom
# total magnetization = 7.826 μB/f.u.
data_YMn2Cl
_chemical_formula_sum 'Y2 Mn4 Cl2'
_symmetry_space_group_name_H-M 'C m m m'
_symmetry_Int_Tables_number 65
_symmetry_space_group_name_Hall '-C 2 2'
_cell_length_a 5.335
_cell_length_b 9.773
_cell_length_c 3.381
_cell_angle_alpha 90.00
_cell_angle_beta 90.00
_cell_angle_gamma 90.00
loop_
_atom_site_label
_atom_site_type_symbol
_atom_site_fract_x
_atom_site_fract_y
_atom_site_fract_z
_atom_site_occupancy
Y1 Y 0.000 0.000 0.000 1
Mn1 Mn 0.250 0.250 0.500 1
Cl1 Cl 0.000 0.500 0.000 1


# YMnCl6, optimized geometry, DFT PBE
# Fermi-level density of states = 0.7 states/eV/f.u.
# total DFT energy (no corrections) = -38.91 eV per cell
# ΔE to the lowest computed polymorph = 25 meV per atom
# calculated volume = 25.931 Å³ per atom
# formation energy without anion corrections = -1.5245 eV per atom
# total magnetization = 4.000 μB/f.u.
data_YMnCl6
_chemical_formula_sum 'Y1 Mn1 Cl6'
_symmetry_space_group_name_H-M 'P -1'
_symmetry_Int_Tables_number 2
_cell_length_a 6.318
_cell_length_b 6.344
_cell_length_c 6.793
_cell_angle_alpha 62.18
_cell_angle_beta 89.72
_cell_angle_gamma 63.16
loop_
_symmetry_equiv_pos_as_xyz
'x,y,z'
'-x,-y,-z'
loop_
_atom_site_label
_atom_site_type_symbol
_atom_site_fract_x
_atom_site_fract_y
_atom_site_fract_z
_atom_site_occupancy
Y1 Y 0.000 0.000 0.000 1
Mn1 Mn 0.500 0.000 0.500 1
Cl1 Cl 0.107 0.491 0.252 1
Cl2 Cl 0.274 0.840 0.735 1
Cl3 Cl 0.417 0.857 0.268 1


# YMn2Cl, optimized geometry, DFT PBE
# Fermi-level density of states = 4.3 states/eV/f.u.
# total DFT energy (no corrections) = -25.87 eV per cell
# ΔE to the lowest computed polymorph = 449 meV per atom
# calculated volume = 21.451 Å³ per atom
# formation energy without anion corrections = 0.1954 eV per atom
# total magnetization = 7.066 μB/f.u.
data_YMn2Cl
_chemical_formula_sum 'Y1 Mn2 Cl1'
_symmetry_space_group_name_H-M 'P m m m'
_symmetry_Int_Tables_number 47
_cell_length_a 3.554
_cell_length_b 4.371
_cell_length_c 5.523
_cell_angle_alpha 90.00
_cell_angle_beta 90.00
_cell_angle_gamma 90.00
loop_
_symmetry_equiv_pos_as_xyz
'x,y,z'
'-x,-y,-z'
'-x,-y,z'
'x,y,-z'
'x,-y,-z'
'-x,y,z'
'-x,y,-z'
'x,-y,z'
loop_
_atom_site_label
_atom_site_type_symbol
_atom_site_fract_x
_atom_site_fract_y
_atom_site_fract_z
_atom_site_occupancy
Y1 Y 0.000 0.000 0.000 1
Mn1 Mn 0.500 0.500 0.233 1
Cl1 Cl 0.000 0.000 0.500 1


# Y2MnCl2, optimized geometry, DFT PBE
# Fermi-level density of states = 5.0 states/eV/f.u.
# total DFT energy (no corrections) = -58.67 eV per cell
# calculated volume = 25.408 Å³ per atom
# formation energy without anion corrections = -0.7092 eV per atom
# total magnetization = 3.368 μB/f.u.
data_Y2MnCl2
_chemical_formula_sum 'Y4 Mn2 Cl4'
_symmetry_space_group_name_H-M 'I 4/m m m'
_symmetry_Int_Tables_number 139
_symmetry_space_group_name_Hall '-I 4 2'
_cell_length_a 4.216
_cell_length_b 4.216
_cell_length_c 14.292
_cell_angle_alpha 90.00
_cell_angle_beta 90.00
_cell_angle_gamma 90.00
loop_
_atom_site_label
_atom_site_type_symbol
_atom_site_fract_x
_atom_site_fract_y
_atom_site_fract_z
_atom_site_occupancy
Y1 Y 0.000 0.000 0.118 1
Mn1 Mn 0.000 0.000 0.500 1
Cl1 Cl 0.000 0.500 0.250 1


# YMnCl6, optimized geometry, DFT PBE
# Fermi-level density of states = 3.6 states/eV/f.u.
# total DFT energy (no corrections) = -78.22 eV per cell
# ΔE to the lowest computed polymorph = 0 meV per atom
# calculated volume = 33.832 Å³ per atom
# formation energy without anion corrections = -1.5493 eV per atom
# total magnetization = 4.000 μB/f.u.
data_YMnCl6
_chemical_formula_sum 'Y2 Mn2 Cl12'
_symmetry_space_group_name_H-M 'C 1 2/m 1'
_symmetry_Int_Tables_number 12
_cell_length_a 7.974
_cell_length_b 11.110
_cell_length_c 6.552
_cell_angle_alpha 90.00
_cell_angle_beta 111.18
_cell_angle_gamma 90.00
loop_
_symmetry_equiv_pos_as_xyz
'x,y,z'
'-x,-y,-z'
'-x,y,-z'
'x,-y,z'
'x+1/2,y+1/2,z'
'-x+1/2,-y+1/2,-z'
'-x+1/2,y+1/2,-z'
'x+1/2,-y+1/2,z'
loop_
_atom_site_label
_atom_site_type_symbol
_atom_site_fract_x
_atom_site_fract_y
_atom_site_fract_z
_atom_site_occupancy
Y1 Y 0.000 0.000 0.000 1
Mn1 Mn 0.000 0.000 0.500 1
Cl1 Cl 0.132 0.151 0.783 1
Cl2 Cl 0.245 0.500 0.599 1


# YMn2Cl, optimized geometry, DFT PBE
# Fermi-level density of states = 5.5 states/eV/f.u.
# total DFT energy (no corrections) = -52.41 eV per cell
# ΔE to the lowest computed polymorph = 365 meV per atom
# calculated volume = 20.188 Å³ per atom
# formation energy without anion corrections = 0.1107 eV per atom
# total magnetization = 7.312 μB/f.u.
data_YMn2Cl
_chemical_formula_sum 'Y2 Mn4 Cl2'
_symmetry_space_group_name_H-M 'I 4/m m m'
_symmetry_Int_Tables_number 139
_symmetry_space_group_name_Hall '-I 4 2'
_cell_length_a 3.863
_cell_length_b 3.863
_cell_length_c 10.823
_cell_angle_alpha 90.00
_cell_angle_beta 90.00
_cell_angle_gamma 90.00
loop_
_atom_site_label
_atom_site_type_symbol
_atom_site_fract_x
_atom_site_fract_y
_atom_site_fract_z
_atom_site_occupancy
Y1 Y 0.000 0.000 0.000 1
Mn1 Mn 0.000 0.500 0.250 1
Cl1 Cl 0.000 0.000 0.500 1


# YMn3Cl, optimized geometry, DFT PBE
# Fermi-level density of states = 4.3 states/eV/f.u.
# total DFT energy (no corrections) = -28.29 eV per cell
# ΔE to the lowest computed polymorph = 1074 meV per atom
# calculated volume = 33.453 Å³ per atom
# formation energy without anion corrections = 1.5068 eV per atom
# total magnetization = 13.001 μB/f.u.
data_YMn3Cl
_chemical_formula_sum 'Y1 Mn3 Cl1'
_symmetry_space_group_name_H-M 'P m -3 m'
_symmetry_Int_Tables_number 221
_symmetry_space_group_name_Hall '-P 4 2 3'
_cell_length_a 5.510
_cell_length_b 5.510
_cell_length_c 5.510
_cell_angle_alpha 90.00
_cell_angle_beta 90.00
_cell_angle_gamma 90.00
loop_
_atom_site_label
_atom_site_type_symbol
_atom_site_fract_x
_atom_site_fract_y
_atom_site_fract_z
_atom_site_occupancy
Y1 Y 0.000 0.000 0.000 1
Mn1 Mn 0.000 0.000 0.500 1
Cl1 Cl 0.500 0.500 0.500 1